! NaLiS2 (GGA-PBEsol, relaxed); values from VASP
&SYSTEM
  ibrav = 0, nat = 8, ntyp = 3
/
ATOMIC_SPECIES
Na 22.99 Na.upf
Li 6.94 Li.upf
S 32.06 S.upf
ATOMIC_POSITIONS angstrom
Na 0.0000 0.0000 0.0000
Na 0.0000 2.3555 3.8332
Li 2.3555 0.0000 3.8332
Li 0.0000 0.0000 7.6664
S 1.1778 -0.3222 5.7498
S 2.0333 1.1778 1.9166
S 1.1778 2.6777 -1.9166
S 0.3222 1.1778 9.5830
CELL_PARAMETERS angstrom
-2.3555 2.3555 7.6664
2.3555 -2.3555 7.6664
2.3555 2.3555 -7.6664
! ΔE_f (raw) = -3.0 eV/f.u.
! crystal system = tetragonal
! SG = I-42d (122)
! relative energy among the computed polymorphs = 0 meV per atom



! NaLiTcS2 (GGA-PBEsol, relaxed); values from VASP
&SYSTEM
  ibrav = 0, nat = 5, ntyp = 4
/
ATOMIC_SPECIES
Na 22.99 Na.upf
Li 6.94 Li.upf
Tc 98.00 Tc.upf
S 32.06 S.upf
ATOMIC_POSITIONS angstrom
Na 0.0000 0.0000 0.0000
Li 0.0000 0.0000 1.8488
Tc 2.3817 2.3817 1.8488
S 0.0000 2.3817 0.0000
S 2.3817 0.0000 0.0000
CELL_PARAMETERS angstrom
4.7634 0.0000 0.0000
0.0000 4.7634 0.0000
0.0000 0.0000 3.6975
! ΔE_f (raw) = 3.7 eV/f.u.
! crystal system = tetragonal
! SG = P4/mmm (123)



! NaLiSe3 (GGA-PBEsol, relaxed); values from VASP
&SYSTEM
  ibrav = 0, nat = 5, ntyp = 3
/
ATOMIC_SPECIES
Na 22.99 Na.upf
Li 6.94 Li.upf
Se 78.96 Se.upf
ATOMIC_POSITIONS angstrom
Na 0.0000 0.0000 0.0000
Li 2.5478 2.5478 2.5478
Se 0.0000 0.0000 2.5478
Se 0.0000 2.5478 0.0000
Se 2.5478 0.0000 0.0000
CELL_PARAMETERS angstrom
5.0955 0.0000 0.0000
0.0000 5.0955 0.0000
0.0000 0.0000 5.0955
! ΔE_f (raw) = 1.4 eV/f.u.
! crystal system = cubic
! SG = Pm-3m (221)



! NaLi3Se (GGA-PBEsol, relaxed); values from VASP
&SYSTEM
  ibrav = 0, nat = 5, ntyp = 3
/
ATOMIC_SPECIES
Na 22.99 Na.upf
Li 6.94 Li.upf
Se 78.96 Se.upf
ATOMIC_POSITIONS angstrom
Na 0.0000 0.0000 0.0000
Li 0.0000 2.4811 2.4811
Li 2.4811 0.0000 2.4811
Li 2.4811 2.4811 0.0000
Se 2.4811 2.4811 2.4811
CELL_PARAMETERS angstrom
4.9621 0.0000 0.0000
0.0000 4.9621 0.0000
0.0000 0.0000 4.9621
! ΔE_f (raw) = -2.8 eV/f.u.
! crystal system = cubic
! SG = Pm-3m (221)



! NaLi2Si2 (GGA-PBEsol, relaxed); values from VASP
&SYSTEM
  ibrav = 0, nat = 10, ntyp = 3
/
ATOMIC_SPECIES
Na 22.99 Na.upf
Li 6.94 Li.upf
Si 28.09 Si.upf
ATOMIC_POSITIONS angstrom
Na 0.0000 0.0000 0.0000
Na 3.8142 3.8142 0.0000
Li 1.4098 2.4044 1.4527
Li 2.4044 6.2187 1.4527
Li 5.2241 1.4098 1.4527
Li 6.2187 5.2241 1.4527
Si 0.8274 4.6416 0.0000
Si 2.9869 0.8274 0.0000
Si 4.6416 6.8011 0.0000
Si 6.8011 2.9869 0.0000
CELL_PARAMETERS angstrom
7.6285 0.0000 0.0000
0.0000 7.6285 0.0000
0.0000 0.0000 2.9055
! ΔE_f (raw) = -0.5 eV/f.u.
! crystal system = tetragonal
! SG = P4/mbm (127)



! NaLi2TaSi (GGA-PBEsol, relaxed); values from VASP
&SYSTEM
  ibrav = 0, nat = 5, ntyp = 4
/
ATOMIC_SPECIES
Na 22.99 Na.upf
Li 6.94 Li.upf
Ta 180.95 Ta.upf
Si 28.09 Si.upf
ATOMIC_POSITIONS angstrom
Na 0.0000 0.0000 0.0000
Li 0.0000 2.3072 2.5364
Li 2.3072 0.0000 2.5364
Ta 2.3072 2.3072 0.0000
Si 0.0000 0.0000 2.5364
CELL_PARAMETERS angstrom
4.6144 0.0000 0.0000
0.0000 4.6144 0.0000
0.0000 0.0000 5.0728
! ΔE_f (raw) = 6.5 eV/f.u.
! crystal system = tetragonal
! SG = P4/mmm (123)



! NaLi5Sn4 (GGA-PBEsol, relaxed); values from VASP
&SYSTEM
  ibrav = 0, nat = 10, ntyp = 3
/
ATOMIC_SPECIES
Na 22.99 Na.upf
Li 6.94 Li.upf
Sn 118.71 Sn.upf
ATOMIC_POSITIONS angstrom
Na 0.0000 0.0000 0.0000
Li 0.0000 0.0000 10.7123
Li 0.0000 0.0000 13.3282
Li 0.0000 0.0000 16.5648
Li 0.0000 0.0000 19.2933
Li 0.0000 0.0000 27.9275
Sn 0.0000 0.0000 5.0883
Sn 0.0000 0.0000 7.9705
Sn 0.0000 0.0000 22.1132
Sn 0.0000 0.0000 24.9084
CELL_PARAMETERS angstrom
2.4624 1.4216 10.3659
-2.4624 1.4216 10.3659
0.0000 -2.8433 10.3659
! crystal system = trigonal
! SG = R3m (160)
! E = -3.090 eV/atom



! NaLiSn3 (GGA-PBEsol, relaxed); values from VASP
&SYSTEM
  ibrav = 0, nat = 5, ntyp = 3
/
ATOMIC_SPECIES
Na 22.99 Na.upf
Li 6.94 Li.upf
Sn 118.71 Sn.upf
ATOMIC_POSITIONS angstrom
Na 0.0000 0.0000 0.0000
Li 2.5272 2.5272 2.5272
Sn 0.0000 2.5272 2.5272
Sn 2.5272 0.0000 2.5272
Sn 2.5272 2.5272 0.0000
CELL_PARAMETERS angstrom
5.0544 0.0000 0.0000
0.0000 5.0544 0.0000
0.0000 0.0000 5.0544
! crystal system = cubic
! SG = Pm-3m (221)
! E = -3.188 eV/atom



! NaLiSn2 (GGA-PBEsol, relaxed); values from VASP
&SYSTEM
  ibrav = 0, nat = 4, ntyp = 3
/
ATOMIC_SPECIES
Na 22.99 Na.upf
Li 6.94 Li.upf
Sn 118.71 Sn.upf
ATOMIC_POSITIONS angstrom
Na 0.0000 0.0000 0.0000
Li 3.5526 3.5526 3.5526
Sn 1.7763 1.7763 1.7763
Sn 5.3289 5.3289 5.3289
CELL_PARAMETERS angstrom
0.0000 3.5526 3.5526
3.5526 0.0000 3.5526
3.5526 3.5526 0.0000
! crystal system = cubic
! SG = Fm-3m (225)
! E = -3.170 eV/atom



! NaLi2Sn2 (GGA-PBEsol, relaxed); values from VASP
&SYSTEM
  ibrav = 0, nat = 10, ntyp = 3
/
ATOMIC_SPECIES
Na 22.99 Na.upf
Li 6.94 Li.upf
Sn 118.71 Sn.upf
ATOMIC_POSITIONS angstrom
Na 0.0000 0.0000 0.0000
Na 4.1295 4.1295 0.0000
Li 1.4412 2.6884 1.6469
Li 2.6884 6.8179 1.6469
Li 5.5707 1.4412 1.6469
Li 6.8179 5.5707 1.6469
Sn 1.0163 5.1458 0.0000
Sn 3.1132 1.0163 0.0000
Sn 5.1458 7.2428 0.0000
Sn 7.2428 3.1132 0.0000
CELL_PARAMETERS angstrom
8.2591 0.0000 0.0000
0.0000 8.2591 0.0000
0.0000 0.0000 3.2937
! crystal system = tetragonal
! SG = P4/mbm (127)
! E = -3.067 eV/atom



! Na2SrLi (GGA-PBEsol, relaxed); values from VASP
&SYSTEM
  ibrav = 0, nat = 8, ntyp = 3
/
ATOMIC_SPECIES
Na 22.99 Na.upf
Sr 87.62 Sr.upf
Li 6.94 Li.upf
ATOMIC_POSITIONS angstrom
Na 3.6573 1.0613 -3.2261
Na 1.0613 1.2191 3.2261
Na -1.2191 1.3769 9.6782
Na 1.3769 1.2191 16.1304
Sr 2.4382 0.0000 6.4522
Sr 0.0000 0.0000 12.9043
Li 0.0000 0.0000 0.0000
Li 0.0000 2.4382 6.4522
CELL_PARAMETERS angstrom
-2.4382 2.4382 12.9043
2.4382 -2.4382 12.9043
2.4382 2.4382 -12.9043
! crystal system = tetragonal
! SG = I-42d (122)
! relative energy among the computed polymorphs = 62 meV per atom



! NaSr2Li (GGA-PBEsol, relaxed); values from VASP
&SYSTEM
  ibrav = 0, nat = 4, ntyp = 3
/
ATOMIC_SPECIES
Na 22.99 Na.upf
Sr 87.62 Sr.upf
Li 6.94 Li.upf
ATOMIC_POSITIONS angstrom
Na 0.0000 0.0000 0.0000
Sr 2.1622 2.1622 2.1622
Sr 6.4865 6.4865 6.4865
Li 4.3243 4.3243 4.3243
CELL_PARAMETERS angstrom
0.0000 4.3243 4.3243
4.3243 0.0000 4.3243
4.3243 4.3243 0.0000
! crystal system = cubic
! SG = Fm-3m (225)
! E = -1.724 eV/atom



! NaSr2Li2 (GGA-PBEsol, relaxed); values from VASP
&SYSTEM
  ibrav = 0, nat = 5, ntyp = 3
/
ATOMIC_SPECIES
Na 22.99 Na.upf
Sr 87.62 Sr.upf
Li 6.94 Li.upf
ATOMIC_POSITIONS angstrom
Na 0.0000 0.0000 0.0000
Sr 0.0000 0.0000 8.5227
Sr 0.0000 0.0000 13.7751
Li 2.0306 0.0000 5.5745
Li 0.0000 2.0306 5.5745
CELL_PARAMETERS angstrom
-2.0306 2.0306 11.1489
2.0306 -2.0306 11.1489
2.0306 2.0306 -11.1489
! crystal system = tetragonal
! SG = I4/mmm (139)
! relative energy among the computed polymorphs = 48 meV per atom



! NaSrLi3 (GGA-PBEsol, relaxed); values from VASP
&SYSTEM
  ibrav = 0, nat = 5, ntyp = 3
/
ATOMIC_SPECIES
Na 22.99 Na.upf
Sr 87.62 Sr.upf
Li 6.94 Li.upf
ATOMIC_POSITIONS angstrom
Na 0.0000 0.0000 0.0000
Sr 2.7130 2.7130 2.7130
Li 0.0000 0.0000 2.7130
Li 0.0000 2.7130 0.0000
Li 2.7130 0.0000 0.0000
CELL_PARAMETERS angstrom
5.4261 0.0000 0.0000
0.0000 5.4261 0.0000
0.0000 0.0000 5.4261
! crystal system = cubic
! SG = Pm-3m (221)
! E = -1.623 eV/atom



! Na2SrLi (GGA-PBEsol, relaxed); values from VASP
&SYSTEM
  ibrav = 0, nat = 4, ntyp = 3
/
ATOMIC_SPECIES
Na 22.99 Na.upf
Sr 87.62 Sr.upf
Li 6.94 Li.upf
ATOMIC_POSITIONS angstrom
Na 2.0930 2.0930 2.0930
Na 6.2791 6.2791 6.2791
Sr 0.0000 0.0000 0.0000
Li 4.1861 4.1861 4.1861
CELL_PARAMETERS angstrom
0.0000 4.1861 4.1861
4.1861 0.0000 4.1861
4.1861 4.1861 0.0000
! crystal system = cubic
! SG = Fm-3m (225)
! relative energy among the computed polymorphs = 0 meV per atom



! Na2Sr2Li (GGA-PBEsol, relaxed); values from VASP
&SYSTEM
  ibrav = 0, nat = 10, ntyp = 3
/
ATOMIC_SPECIES
Na 22.99 Na.upf
Sr 87.62 Sr.upf
Li 6.94 Li.upf
ATOMIC_POSITIONS angstrom
Na 1.1270 3.0439 0.0000
Na 3.0439 7.2148 0.0000
Na 5.2978 1.1270 0.0000
Na 7.2148 5.2978 0.0000
Sr 1.4876 5.6585 2.9177
Sr 2.6832 1.4876 2.9177
Sr 5.6585 6.8541 2.9177
Sr 6.8541 2.6832 2.9177
Li 0.0000 0.0000 0.0000
Li 4.1709 4.1709 0.0000
CELL_PARAMETERS angstrom
8.3417 0.0000 0.0000
0.0000 8.3417 0.0000
0.0000 0.0000 5.8354
! crystal system = tetragonal
! SG = P4/mbm (127)
! E = -1.608 eV/atom



! NaSr2Li2 (GGA-PBEsol, relaxed); values from VASP
&SYSTEM
  ibrav = 0, nat = 10, ntyp = 3
/
ATOMIC_SPECIES
Na 22.99 Na.upf
Sr 87.62 Sr.upf
Li 6.94 Li.upf
ATOMIC_POSITIONS angstrom
Na 0.0000 0.0000 0.0000
Na 4.3467 4.3467 0.0000
Sr 1.5155 2.8312 2.4757
Sr 2.8312 7.1779 2.4757
Sr 5.8622 1.5155 2.4757
Sr 7.1779 5.8622 2.4757
Li 1.0477 5.3945 0.0000
Li 3.2990 1.0477 0.0000
Li 5.3945 7.6457 0.0000
Li 7.6457 3.2990 0.0000
CELL_PARAMETERS angstrom
8.6934 0.0000 0.0000
0.0000 8.6934 0.0000
0.0000 0.0000 4.9513
! crystal system = tetragonal
! SG = P4/mbm (127)
! relative energy among the computed polymorphs = 0 meV per atom



! NaLi3Te (GGA-PBEsol, relaxed); values from VASP
&SYSTEM
  ibrav = 0, nat = 5, ntyp = 3
/
ATOMIC_SPECIES
Na 22.99 Na.upf
Li 6.94 Li.upf
Te 127.60 Te.upf
ATOMIC_POSITIONS angstrom
Na 0.0000 0.0000 0.0000
Li 0.0000 2.6527 2.6527
Li 2.6527 0.0000 2.6527
Li 2.6527 2.6527 0.0000
Te 2.6527 2.6527 2.6527
CELL_PARAMETERS angstrom
5.3053 0.0000 0.0000
0.0000 5.3053 0.0000
0.0000 0.0000 5.3053
! ΔE_f (raw) = -2.0 eV/f.u.
! crystal system = cubic
! SG = Pm-3m (221)



! NaLiTe (GGA-PBEsol, relaxed); values from VASP
&SYSTEM
  ibrav = 0, nat = 12, ntyp = 3
/
ATOMIC_SPECIES
Na 22.99 Na.upf
Li 6.94 Li.upf
Te 127.60 Te.upf
ATOMIC_POSITIONS angstrom
Na 0.1128 1.1388 1.5270
Na 3.6997 3.4164 5.6579
Na 3.9254 1.1388 2.6039
Na 7.5123 3.4164 6.7348
Li 1.0898 1.1388 4.7178
Li 2.7227 3.4164 0.5869
Li 4.9024 1.1388 7.6749
Li 6.5353 3.4164 3.5440
Te 1.7146 3.4164 3.2330
Te 2.0980 1.1388 7.3639
Te 5.5271 3.4164 0.8979
Te 5.9105 1.1388 5.0288
CELL_PARAMETERS angstrom
7.6251 0.0000 0.0000
0.0000 4.5553 0.0000
0.0000 0.0000 8.2618
! ΔE_f (raw) = -3.0 eV/f.u.
! crystal system = orthorhombic
! SG = Pnma (62)



! NaLi3Ti (GGA-PBEsol, relaxed); values from VASP
&SYSTEM
  ibrav = 0, nat = 5, ntyp = 3
/
ATOMIC_SPECIES
Na 22.99 Na.upf
Li 6.94 Li.upf
Ti 47.87 Ti.upf
ATOMIC_POSITIONS angstrom
Na 0.0000 0.0000 0.0000
Li 0.0000 2.6620 2.6620
Li 2.6620 0.0000 2.6620
Li 2.6620 2.6620 0.0000
Ti 2.6620 2.6620 2.6620
CELL_PARAMETERS angstrom
5.3241 0.0000 0.0000
0.0000 5.3241 0.0000
0.0000 0.0000 5.3241
! crystal system = cubic
! SG = Pm-3m (221)
! E = -2.245 eV/atom